Entry 1:
{"formula": "Cr3Cl", "functional": "PBE", "state": "relaxed", "lattice": [[4.914, -1.451, 0.000], [4.914, 1.451, 0.000], [-0.522, 0.000, 4.008]], "species": ["Cr", "Cr", "Cr", "Cl"], "frac_coords": [[0.000, 0.000, 0.000], [0.285, 0.285, 0.191], [0.715, 0.715, 0.809], [0.500, 0.500, 0.500]], "sg": "C2/m", "dos_at_fermi_per_ev_fu": 3.83, "raw_formation_energy_ev_per_atom": 0.618}


Entry 2:
{"formula": "CrCl", "functional": "PBE", "state": "relaxed", "lattice": [[9.954, 0.000, 0.000], [-4.977, 8.620, 0.000], [0.000, 0.000, 3.063]], "species": ["Cr", "Cr", "Cr", "Cr", "Cr", "Cr", "Cl", "Cl", "Cl", "Cl", "Cl", "Cl"], "frac_coords": [[0.016, 0.436, 0.250], [0.420, 0.984, 0.250], [0.436, 0.420, 0.750], [0.564, 0.580, 0.250], [0.580, 0.016, 0.750], [0.984, 0.564, 0.750], [0.209, 0.427, 0.750], [0.218, 0.791, 0.750], [0.427, 0.218, 0.250], [0.573, 0.782, 0.750], [0.782, 0.209, 0.250], [0.791, 0.573, 0.250]], "sg": "P6_3/m", "dos_at_fermi_per_ev_fu": 0.29, "raw_formation_energy_ev_per_atom": -0.035}